Record 1
# Co3As | Alexandria | PBE-GGA | relaxed
# N(E_F): 4.6 states/eV/f.u.
# crystal system: orthorhombic
data_Co3As
_symmetry_space_group_name_H-M 'P m m n'
_symmetry_Int_Tables_number 59
_cell_length_a 4.082
_cell_length_b 5.080
_cell_length_c 4.444
_cell_angle_alpha 90.00
_cell_angle_beta 90.00
_cell_angle_gamma 90.00
loop_
_symmetry_equiv_pos_as_xyz
'x,y,z'
'-x,-y,-z'
'-x+1/2,-y+1/2,z'
'x+1/2,y+1/2,-z'
'x+1/2,-y,-z'
'-x+1/2,y,z'
'-x,y+1/2,-z'
'x,-y+1/2,z'
loop_
_atom_site_label
_atom_site_fract_x
_atom_site_fract_y
_atom_site_fract_z
_atom_site_occupancy
Co1 0.250 0.003 0.154 1
Co2 0.250 0.250 0.658 1
As1 0.250 0.750 0.666 1


Record 2
# CoAs2 | Alexandria | PBE-GGA | relaxed
# N(E_F): 1.9 states/eV/f.u.
# crystal system: tetragonal
data_CoAs2
_symmetry_space_group_name_H-M 'I 4/m m m'
_symmetry_Int_Tables_number 139
_symmetry_space_group_name_Hall '-I 4 2'
_cell_length_a 3.417
_cell_length_b 3.417
_cell_length_c 7.985
_cell_angle_alpha 90.00
_cell_angle_beta 90.00
_cell_angle_gamma 90.00
loop_
_atom_site_label
_atom_site_fract_x
_atom_site_fract_y
_atom_site_fract_z
_atom_site_occupancy
Co1 0.000 0.000 0.000 1
As1 0.000 0.000 0.340 1


Record 3
# CoAs3 | Alexandria | PBE-GGA | relaxed
# N(E_F): 2.9 states/eV/f.u.
# crystal system: tetragonal
data_CoAs3
_symmetry_space_group_name_H-M 'I 4/m m m'
_symmetry_Int_Tables_number 139
_symmetry_space_group_name_Hall '-I 4 2'
_cell_length_a 4.266
_cell_length_b 4.266
_cell_length_c 7.182
_cell_angle_alpha 90.00
_cell_angle_beta 90.00
_cell_angle_gamma 90.00
loop_
_atom_site_label
_atom_site_fract_x
_atom_site_fract_y
_atom_site_fract_z
_atom_site_occupancy
Co1 0.000 0.000 0.000 1
As1 0.000 0.000 0.500 1
As2 0.000 0.500 0.250 1


Record 4
# CoAs2 | Alexandria | PBE-GGA | relaxed
# N(E_F): 1.9 states/eV/f.u.
# crystal system: orthorhombic
data_CoAs2
_symmetry_space_group_name_H-M 'C m c m'
_symmetry_Int_Tables_number 63
_symmetry_space_group_name_Hall '-C 2c 2'
_cell_length_a 3.434
_cell_length_b 11.624
_cell_length_c 4.727
_cell_angle_alpha 90.00
_cell_angle_beta 90.00
_cell_angle_gamma 90.00
loop_
_atom_site_label
_atom_site_fract_x
_atom_site_fract_y
_atom_site_fract_z
_atom_site_occupancy
Co1 0.000 0.196 0.250 1
As1 0.000 0.161 0.750 1
As2 0.000 0.451 0.750 1


Record 5
# CoAs3 | Alexandria | PBE-GGA | relaxed
# N(E_F): 1.7 states/eV/f.u.
# crystal system: cubic
data_CoAs3
_symmetry_space_group_name_H-M 'P m -3 m'
_symmetry_Int_Tables_number 221
_symmetry_space_group_name_Hall '-P 4 2 3'
_cell_length_a 4.580
_cell_length_b 4.580
_cell_length_c 4.580
_cell_angle_alpha 90.00
_cell_angle_beta 90.00
_cell_angle_gamma 90.00
loop_
_atom_site_label
_atom_site_fract_x
_atom_site_fract_y
_atom_site_fract_z
_atom_site_occupancy
Co1 0.000 0.000 0.000 1
As1 0.000 0.000 0.500 1


Record 6
# CoAs2 | Alexandria | PBE-GGA | relaxed
# N(E_F): 3.9 states/eV/f.u.
# crystal system: hexagonal
data_CoAs2
_symmetry_space_group_name_H-M 'P 63/m m c'
_symmetry_Int_Tables_number 194
_symmetry_space_group_name_Hall '-P 6c 2c'
_cell_length_a 4.6634
_cell_length_b 4.6634
_cell_length_c 5.3250
_cell_angle_alpha 90.00
_cell_angle_beta 90.00
_cell_angle_gamma 120.00
loop_
_atom_site_label
_atom_site_fract_x
_atom_site_fract_y
_atom_site_fract_z
_atom_site_occupancy
Co1 0.0000 0.0000 0.2500 1
As1 0.3333 0.6667 0.0148 1


Record 7
# CoAs3 | Alexandria | PBE-GGA | relaxed
# N(E_F): 3.4 states/eV/f.u.
# crystal system: orthorhombic
data_CoAs3
_symmetry_space_group_name_H-M 'I m m m'
_symmetry_Int_Tables_number 71
_symmetry_space_group_name_Hall '-I 2 2'
_cell_length_a 2.935
_cell_length_b 4.260
_cell_length_c 11.042
_cell_angle_alpha 90.00
_cell_angle_beta 90.00
_cell_angle_gamma 90.00
loop_
_atom_site_label
_atom_site_fract_x
_atom_site_fract_y
_atom_site_fract_z
_atom_site_occupancy
Co1 0.000 0.000 0.000 1
As1 0.000 0.000 0.500 1
As2 0.000 0.500 0.323 1


Record 8
# CoAs3 | Alexandria | PBE-GGA | relaxed
# N(E_F): 1.8 states/eV/f.u.
# crystal system: tetragonal
data_CoAs3
_symmetry_space_group_name_H-M 'P 4/m m m'
_symmetry_Int_Tables_number 123
_symmetry_space_group_name_Hall '-P 4 2'
_cell_length_a 2.843
_cell_length_b 2.843
_cell_length_c 8.402
_cell_angle_alpha 90.00
_cell_angle_beta 90.00
_cell_angle_gamma 90.00
loop_
_atom_site_label
_atom_site_fract_x
_atom_site_fract_y
_atom_site_fract_z
_atom_site_occupancy
Co1 0.000 0.000 0.000 1
As1 0.000 0.000 0.500 1
As2 0.500 0.500 0.181 1


Table of ΔE_f (eV per formula unit), in record order: 0.0, 1.0, 1.9, -0.1, 2.3, 1.8, 0.7, 0.5